Below is a geometry-optimized Pr2ZnCl structure, with properties calculated at the GGA-PBE level. Values from VASP.

Structure (Quantum ESPRESSO input):
```
&SYSTEM
  ibrav = 0, nat = 4, ntyp = 3
/
ATOMIC_SPECIES
Pr 140.91 Pr.upf
Zn 65.41 Zn.upf
Cl 35.45 Cl.upf
CELL_PARAMETERS angstrom
3.5408 0.0000 0.0000
0.0000 3.5408 0.0000
0.0000 0.0000 8.1366
ATOMIC_POSITIONS angstrom
Pr 0.0000 0.0000 1.8984
Pr 0.0000 0.0000 6.2382
Zn 1.7704 1.7704 0.0000
Cl 1.7704 1.7704 4.0683
```

Computed properties:
As for the space group: P4/mmm. The formation energy without anion corrections is -0.775 eV per atom.

Below is a geometry-optimized Pr2Zn2Cl structure, with properties calculated at the GGA-PBE level. Values from VASP.

Structure (Quantum ESPRESSO input):
```
&SYSTEM
  ibrav = 0, nat = 5, ntyp = 3
/
ATOMIC_SPECIES
Pr 140.91 Pr.upf
Zn 65.41 Zn.upf
Cl 35.45 Cl.upf
CELL_PARAMETERS angstrom
2.1909 1.2649 7.1712
-2.1909 1.2649 7.1712
0.0000 -2.5298 7.1712
ATOMIC_POSITIONS angstrom
Pr 0.0000 0.0000 1.9203
Pr 0.0000 0.0000 19.5932
Zn 0.0000 0.0000 7.0806
Zn 0.0000 0.0000 14.4329
Cl 0.0000 0.0000 10.7568
```

Computed properties:
As for the space group: R-3m. The formation energy without anion corrections is -0.818 eV per atom.

Below is a geometry-optimized PrZnCl structure, with properties calculated at the GGA-PBE level. Values from VASP.

Structure (Quantum ESPRESSO input):
```
&SYSTEM
  ibrav = 0, nat = 12, ntyp = 3
/
ATOMIC_SPECIES
Pr 140.91 Pr.upf
Zn 65.41 Zn.upf
Cl 35.45 Cl.upf
CELL_PARAMETERS angstrom
10.2799 -2.0183 0.0000
10.2799 2.0183 0.0000
-1.5746 0.0000 7.3612
ATOMIC_POSITIONS angstrom
Pr 1.5133 0.0000 3.1944
Pr 1.9241 0.0000 7.1695
Pr 17.0612 0.0000 0.1918
Pr 17.4720 0.0000 4.1668
Zn 4.5140 0.0000 4.6135
Zn 5.5876 0.0000 2.2184
Zn 13.3977 0.0000 5.1428
Zn 14.4713 0.0000 2.7478
Cl -0.3416 0.0000 5.3106
Cl 7.1015 0.0000 6.3563
Cl 11.8837 0.0000 1.0050
Cl 19.3268 0.0000 2.0506
```

Computed properties:
As for the space group: C2/m. The formation energy without anion corrections is -1.083 eV per atom.

Below is a geometry-optimized Pr7ZnCl12 structure, with properties calculated at the GGA-PBE level. Values from VASP.

Structure (Quantum ESPRESSO input):
```
&SYSTEM
  ibrav = 0, nat = 20, ntyp = 3
/
ATOMIC_SPECIES
Pr 140.91 Pr.upf
Zn 65.41 Zn.upf
Cl 35.45 Cl.upf
CELL_PARAMETERS angstrom
7.5476 4.3576 3.2148
-7.5476 4.3576 3.2148
0.0000 -8.7152 3.2148
ATOMIC_POSITIONS angstrom
Pr 0.0000 0.0000 0.0000
Pr -1.6025 -1.6940 3.1641
Pr -0.6658 2.2348 3.1641
Pr 2.2683 -0.5408 3.1641
Pr -2.2683 0.5408 6.4801
Pr 0.6658 -2.2348 6.4801
Pr 1.6025 1.6940 6.4801
Zn 0.0000 0.0000 4.8221
Cl -2.3777 0.5771 1.4923
Cl 0.6891 -2.3477 1.4923
Cl -3.9099 -1.1042 4.7925
Cl -0.9987 -3.9382 4.8518
Cl 1.6886 1.7706 1.4923
Cl -2.9112 2.8340 4.8518
Cl 2.9112 -2.8340 4.7925
Cl -1.6886 -1.7706 8.1520
Cl 0.9987 3.9382 4.7925
Cl 3.9099 1.1042 4.8518
Cl -0.6891 2.3477 8.1520
Cl 2.3777 -0.5771 8.1520
```

Computed properties:
As for the space group: R-3. The formation energy without anion corrections is -1.845 eV per atom.

- Among the records above, which one has the lowest formation energy without anion corrections?
  Pr7ZnCl12